DFT (PBE-GGA) results for a relaxed structure of PuTl2I5.

Unit cell a=8.6241 b=8.6242 c=8.9417 alpha=118.86 beta=118.84 gamma=89.98
Last column: nearest neighbours and their distance in Å.
Atoms (fractional coordinates):
1 Pu 0.9960 0.9959 0.9919  5 I 2.93-3.06
2 Tl 0.1678 0.6681 0.3360  4 I 3.46
3 Tl 0.6681 0.1681 0.3360  4 I 3.46
4 I 0.7972 0.2893 0.0866  1 Pu 3.06
5 I 0.2894 0.2895 0.0869  1 Pu 3.06
6 I 0.7970 0.7970 0.0862  1 Pu 3.06
7 I 0.2895 0.7973 0.0869  1 Pu 3.06
8 I 0.7720 0.7717 0.5435  1 Pu 2.93

Calculated values
E above lowest polymorph = 0.078 eV per atom
Total energy = -4.14 eV per atom
Total magnetic moment = 5.000 Bohr magnetons per cell
ΔE_f (raw) = -784 meV per atom